(1)
Material: Ba2GdP
Method: DFT, PBE
State: relaxed

For the energy of formation, the calculation gives -22.6 kJ/mol of atoms.

Cell: 4.3545 4.3545 34.9124 Å, 90.00 90.00 120.00°
With the nearest neighbours (Å) after each atom.
Space group R-3m (No. 166, hexagonal axes)
Asymmetric unit:
Ba1 0.0000 0.0000 0.1149  3 P 3.10
Gd1 0.0000 0.0000 0.0000  2 Ba 4.01, 6 Gd 4.35
P1 0.0000 0.0000 0.5000  6 Ba 3.10

=====

(2)
Material: BaGd2Pa
Method: DFT, PBE
State: relaxed

For the energy of formation, the calculation gives 28.0 kJ/mol of atoms.

Cell: 3.5292 3.5292 37.5680 Å, 90.00 90.00 120.00°
With the nearest neighbours (Å) after each atom.
Space group R-3m (No. 166, hexagonal axes)
Asymmetric unit:
Ba1 0.0000 0.0000 0.0000  6 Ba 3.53, 2 Gd 3.62
Gd1 0.0000 0.0000 0.0962  3 Pa 3.34, 6 Gd 3.53, 1 Ba 3.62
Pa1 0.0000 0.0000 0.5000  6 Gd 3.34, 6 Pa 3.53

=====

(3)
Material: BaGdPb4
Method: DFT, PBE
State: relaxed

For the energy of formation, the calculation gives -26.3 kJ/mol of atoms.

Cell: 9.3386 9.3386 9.3386 Å, 90.00 90.00 90.00°
With the nearest neighbours (Å) after each atom.
Space group F-43m (No. 216)
Asymmetric unit:
Ba1 0.0000 0.0000 0.0000  12 Pb 3.87, 4 Gd 4.04
Gd1 0.2500 0.2500 0.2500  12 Pb 3.87, 4 Ba 4.04
Pb1 0.1243 0.1243 0.6243  6 Pb 3.28-3.32